This record from Alexandria via LeMat-Bulk describes a relaxed structure of ThVHg. The functional is PBE.

Cell lengths 3.7411, 17.4730, 4.3582 Å; angles 90.00, 90.00, 90.00 degrees
Space group Cmcm (No. 63)
Unique sites:
Th  0.0000  0.0985  0.2500 [4 per cell]
V  0.0000  0.4630  0.2500 [4 per cell]
Hg  0.0000  0.2963  0.2500 [4 per cell]

Crystal system   orthorhombic
DFT formation energy   0.052 eV/atom

This record from Alexandria via LeMat-Bulk describes a relaxed structure of PrCd3Ag6. The functional is PBE.

Cell lengths 7.3084, 7.4414, 9.4187 Å; angles 90.00, 123.56, 90.00 degrees
Space group P2_1/c (No. 14)
Unique sites:
Pr  0.0000  0.0000  0.0000 [2 per cell]
Cd  0.2662  0.1473  0.4377 [4 per cell]
Cd  0.5000  0.0000  0.0000 [2 per cell]
Ag  0.1379  0.0648  0.6682 [4 per cell]
Ag  0.2130  0.7187  0.8412 [4 per cell]
Ag  0.4821  0.6866  0.2134 [4 per cell]

Crystal system   monoclinic
DFT formation energy   -0.081 eV/atom

This record from Alexandria via LeMat-Bulk describes a relaxed structure of Ga3SbTe. The functional is PBE.

Cell lengths 5.4074, 5.4074, 5.4074 Å; angles 90.00, 90.00, 90.00 degrees
Space group Pm-3m (No. 221)
Unique sites:
Ga  0.0000  0.0000  0.5000 [3 per cell]
Sb  0.0000  0.0000  0.0000 [1 per cell]
Te  0.5000  0.5000  0.5000 [1 per cell]

Crystal system   cubic
Excess energy over the best structure of this formula in the dataset   0.000 eV per formula unit
Uncorrected formation energy   1.62 eV per formula unit

This record from Alexandria via LeMat-Bulk describes a relaxed structure of MnFeCu2. The functional is PBE.

Cell lengths 2.8702, 4.0534, 8.3787 Å; angles 90.00, 90.00, 90.00 degrees
Space group Immm (No. 71)
Unique sites:
Mn  0.0000  0.0000  0.0000 [2 per cell]
Fe  0.0000  0.0000  0.5000 [2 per cell]
Cu  0.0000  0.5000  0.2464 [4 per cell]

Crystal system   orthorhombic
DFT formation energy   0.218 eV/atom

This record from Alexandria via LeMat-Bulk describes a relaxed structure of Tm5In3. The functional is PBE.

Cell lengths 7.9723, 7.9723, 14.0061 Å; angles 90.00, 90.00, 90.00 degrees
Space group I4/mcm (No. 140)
Unique sites:
Tm  0.0000  0.0000  0.0000 [4 per cell]
Tm  0.1600  0.3400  0.1528 [16 per cell]
In  0.0000  0.0000  0.2500 [4 per cell]
In  0.1333  0.3667  0.5000 [8 per cell]

Crystal system   tetragonal
DFT formation energy   -0.349 eV/atom
Excess energy over the best structure of this formula in the dataset   0.099 eV per formula unit

This record from Alexandria via LeMat-Bulk describes a relaxed structure of Ce6Si2H. The functional is PBE.

Cell lengths 5.9461, 8.8020, 9.0735 Å; angles 90.00, 120.56, 90.00 degrees
Space group P2_1/c (No. 14)
Unique sites:
Ce  0.0744  0.1404  0.4713 [4 per cell]
Ce  0.3100  0.7324  0.4793 [4 per cell]
Ce  0.3309  0.0227  0.1872 [4 per cell]
Si  0.1665  0.0841  0.8194 [4 per cell]
H  0.5000  0.0000  0.5000 [2 per cell]

Crystal system   monoclinic
Excess energy over the best structure of this formula in the dataset   0.000 eV per formula unit

This record from Alexandria via LeMat-Bulk describes a relaxed structure of Tl3CdH4. The functional is PBE.

Cell lengths 3.7332, 6.0757, 12.6855 Å; angles 90.00, 90.00, 90.00 degrees
Space group Immm (No. 71)
Unique sites:
Tl  0.0000  0.0000  0.0000 [2 per cell]
Tl  0.0000  0.5000  0.2388 [4 per cell]
Cd  0.0000  0.0000  0.5000 [2 per cell]
H  0.0000  0.2255  0.3934 [8 per cell]

Energy   -2.33 eV/atom
Crystal system   orthorhombic

This record from Alexandria via LeMat-Bulk describes a relaxed structure of NaNd2C. The functional is PBE.

Cell lengths 6.3759, 3.6804, 9.8515 Å; angles 90.00, 90.29, 90.00 degrees
Space group C2/m (No. 12)
Unique sites:
Na  0.0000  0.0000  0.0000 [2 per cell]
Nd  0.1678  0.5000  0.6435 [4 per cell]
C  0.0000  0.0000  0.5000 [2 per cell]

Crystal system   monoclinic
DFT formation energy   -0.059 eV/atom
Excess energy over the best structure of this formula in the dataset   0.000 eV per formula unit

This record from Alexandria via LeMat-Bulk describes a relaxed structure of TbInHg. The functional is PBE.

Cell lengths 3.6213, 3.6213, 11.7376 Å; angles 90.00, 90.00, 90.00 degrees
Space group I4mm (No. 107)
Unique sites:
Tb  0.0000  0.0000  0.0000 [2 per cell]
In  0.0000  0.0000  0.6799 [2 per cell]
Hg  0.0000  0.0000  0.3377 [2 per cell]

Crystal system   tetragonal
DFT formation energy   -0.328 eV/atom

This record from Alexandria via LeMat-Bulk describes a relaxed structure of Dy3Tm2Cu3. The functional is PBE.

Cell lengths 3.5077, 5.0847, 20.7501 Å; angles 90.00, 90.00, 90.00 degrees
Space group Immm (No. 71)
Unique sites:
Dy  0.0000  0.0000  0.0000 [2 per cell]
Dy  0.0000  0.5000  0.1170 [4 per cell]
Tm  0.0000  0.0000  0.2265 [4 per cell]
Cu  0.0000  0.0000  0.5000 [2 per cell]
Cu  0.0000  0.5000  0.3837 [4 per cell]

Crystal system   orthorhombic
DFT formation energy   -0.163 eV/atom

This record from Alexandria via LeMat-Bulk describes a relaxed structure of LaTl2Te2O6. The functional is PBE.

Cell lengths 10.2528, 7.1131, 6.9181 Å; angles 90.00, 112.45, 90.00 degrees
Space group C2/m (No. 12)
Unique sites:
La  0.0000  0.0000  0.0000 [2 per cell]
Tl  0.1847  0.0000  0.6204 [4 per cell]
Te  0.0556  0.5000  0.7371 [4 per cell]
O  0.0453  0.2170  0.7658 [8 per cell]
O  0.2483  0.5000  0.7788 [4 per cell]

Crystal system   monoclinic
Uncorrected formation energy   -14.77 eV per formula unit

This record from Alexandria via LeMat-Bulk describes a relaxed structure of ScMoIN2. The functional is PBE.

Cell lengths 4.1994, 4.1994, 5.7289 Å; angles 90.00, 90.00, 90.00 degrees
Space group P4/mmm (No. 123)
Unique sites:
Sc  0.0000  0.0000  0.0000 [1 per cell]
Mo  0.5000  0.5000  0.5000 [1 per cell]
I  0.0000  0.0000  0.5000 [1 per cell]
N  0.0000  0.5000  0.0000 [2 per cell]

Crystal system   tetragonal
Excess energy over the best structure of this formula in the dataset   3.721 eV per formula unit
Uncorrected formation energy   5.63 eV per formula unit